1.
First-principles (PBE) data for PrDyMg2Au4 after structural relaxation, as listed in Alexandria via LeMat-Bulk.

Unit cell a=4.9604 b=4.9604 c=24.5647 alpha=90.00 beta=90.00 gamma=120.00
With the nearest neighbours (Å) after each atom.
Space group R-3m (No. 166, hexagonal axes)
One atom of each set of equivalent atoms:
Pr  0.0000  0.0000  0.0000 x3  8 Au 3.09-3.16
Dy  0.0000  0.0000  0.5000 x3  8 Au 2.93-3.01
Mg  0.0000  0.0000  0.2485 x6  8 Au 2.94-3.24
Au  0.0000  0.0000  0.1287 x6  4 Mg 2.94-3.06, 3 Dy 3.01, 1 Pr 3.16
Au  0.0000  0.0000  0.3805 x6  1 Dy 2.93, 4 Mg 3.01-3.24, 3 Pr 3.09

Values from the calculation:
formation energy	-0.750	eV/atom


2.
First-principles (PBE) data for KGe after structural relaxation, as listed in Alexandria via LeMat-Bulk.

Unit cell a=7.1142 b=7.1142 c=6.8264 alpha=90.00 beta=90.00 gamma=90.00
With the nearest neighbours (Å) after each atom.
Space group P4_2/mnm (No. 136)
One atom of each set of equivalent atoms:
K  0.1772  0.1772  0.0000 x4  4 Ge 3.44-3.48, 1 K 3.57
Ge  0.1123  0.1123  0.5000 x4  1 Ge 2.26

Values from the calculation:
formation energy	0.036	eV/atom


3.
First-principles (PBE) data for RbBrF6 after structural relaxation, as listed in Alexandria via LeMat-Bulk.

Unit cell a=10.3514 b=6.6854 c=5.9751 alpha=90.00 beta=122.14 gamma=90.00
With the nearest neighbours (Å) after each atom.
Space group C2/m (No. 12)
One atom of each set of equivalent atoms:
Rb  0.0000  0.0000  0.0000 x2  6 F 2.85-2.93
Br  0.0000  0.5000  0.5000 x2  6 F 1.90-1.91
F  0.0860  0.2988  0.3941 x8  1 Br 1.90
F  0.1798  0.5000  0.8450 x4  1 Br 1.91

Values from the calculation:
energy relative to the elements, uncorrected	-1.529	eV per atom


Number 1: E -3.960 eV per atom. Number 2: E -2.821 eV per atom. Number 3: E -3.262 eV per atom.